A plane-wave DFT calculation with meta-GGA SCAN was carried out for a crystal of BaCa2W relaxed with PBEsol.

Results
**ρ**: 5.8 g/cm3
**ΔE to the lowest computed polymorph**: 0.00 eV per formula unit
**Calculated volume**: 114 Å³/f.u.

Cell lengths 10.8109, 3.1822, 6.6752 Å; angles 90.00, 96.13, 90.00 degrees
Space group C2/m (No. 12)
Asymmetric unit:
Ba  0.0000  0.0000  0.0000 x2
Ca  0.2325  0.0000  0.7093 x4
W  0.0000  0.5000  0.5000 x2